Entry 1:
Here is a relaxed MgTaS2 crystal from Alexandria via LeMat-Bulk. Energies are from GGA-PBE.

a b c (Å): 8.711 8.711 8.711
angles (deg): 22.02 22.02 22.02
Fractional positions:
S1 0.895 0.895 0.895
S2 0.105 0.105 0.105
Mg1 0.000 0.000 0.000
Ta1 0.500 0.500 0.500

Results
Uncorrected formation energy = -0.80 eV/atom
Spin magnetization = 0.00 μB per cell
D(E_F) = 2.61 states/eV per cell
DFT total energy = -24.90 eV for the cell shown
Crystal system = trigonal


Entry 2:
Here is a relaxed ScPa2NbN4 crystal from Alexandria via LeMat-Bulk. Energies are from GGA-PBE.

a b c (Å): 3.319 5.731 5.812
angles (deg): 109.07 90.00 90.00
Fractional positions:
Sc1 0.500 0.500 0.000
Pa1 0.500 0.000 0.500
Pa2 0.000 0.500 0.500
Nb1 0.000 0.000 0.000
N1 0.500 0.242 0.226
N2 0.500 0.758 0.774
N3 0.000 0.258 0.772
N4 0.000 0.742 0.228

Results
Uncorrected formation energy = -1.53 eV/atom
Spin magnetization = 0.00 μB per cell
D(E_F) = 5.37 states/eV per cell
DFT total energy = -80.91 eV for the cell shown
Crystal system = monoclinic


Entry 3:
Here is a relaxed NaSiB crystal from Alexandria via LeMat-Bulk. Energies are from GGA-PBE.

a b c (Å): 12.142 4.884 4.884
angles (deg): 139.04 143.65 36.35
Fractional positions:
Na1 0.663 0.455 0.545
Na2 0.337 0.545 0.455
Si1 0.136 0.046 0.954
Si2 0.864 0.954 0.046
B1 0.028 0.561 0.439
B2 0.972 0.439 0.561

Results
Uncorrected formation energy = 0.13 eV/atom
Spin magnetization = 0.00 μB per cell
D(E_F) = 0.85 states/eV per cell
DFT total energy = -26.07 eV for the cell shown
Crystal system = monoclinic